# CuPdF2, single point on PBEsol structure, DFT SCAN
# Formation energy (no corrections) ... -0.548 eV/atom
data_CuPdF2
_space_group_name_H-M_alt 'F m -3 m'
_space_group_IT_number 225
_space_group_name_Hall '-F 4 2 3'
_cell_length_a 5.637
_cell_length_b 5.637
_cell_length_c 5.637
_cell_angle_alpha 90.00
_cell_angle_beta 90.00
_cell_angle_gamma 90.00
loop_
_atom_site_label
_atom_site_fract_x
_atom_site_fract_y
_atom_site_fract_z
Cu1 0.000 0.000 0.000
Pd1 0.000 0.000 0.500
F1 0.250 0.250 0.250


# RbCuF3, single point on PBEsol structure, DFT SCAN
# Formation energy (no corrections) ... -2.317 eV/atom
data_RbCuF3
_space_group_name_H-M_alt 'P m -3 m'
_space_group_IT_number 221
_space_group_name_Hall '-P 4 2 3'
_cell_length_a 4.045
_cell_length_b 4.045
_cell_length_c 4.045
_cell_angle_alpha 90.00
_cell_angle_beta 90.00
_cell_angle_gamma 90.00
loop_
_atom_site_label
_atom_site_fract_x
_atom_site_fract_y
_atom_site_fract_z
Rb1 0.000 0.000 0.000
Cu1 0.500 0.500 0.500
F1 0.000 0.500 0.500


Question: Among the records above, which one has the highest formation energy (no corrections)?
Answer: CuPdF2


Question: Which of these has the highest formation energy (no corrections)?
Answer: CuPdF2